Record 1
Compound: Y2FeCl
Source: Alexandria
Functional: GGA-PBE
Structure: optimized geometry

Lattice parameters (Å, degrees): 3.302 3.302 7.887 90.00 90.00 89.80
Sites, in units of the cell vectors:
Y1 0.000 0.000 0.542
Y2 0.000 0.000 0.958
Cl1 0.500 0.500 0.250
Fe1 0.500 0.500 0.750

- Space group: Cmmm
- Raw formation energy: -0.568 eV per atom
- Crystal system: orthorhombic


Record 2
Compound: DyLuCl
Source: Alexandria
Functional: GGA-PBE
Structure: optimized geometry

Lattice parameters (Å, degrees): 3.616 3.616 6.924 90.00 90.00 120.00
Sites, in units of the cell vectors:
Cl1 0.333 0.667 0.669
Dy1 0.667 0.333 0.353
Lu1 0.000 0.000 0.978

- Space group: P3m1
- Raw formation energy: -0.883 eV per atom
- Crystal system: trigonal


Record 3
Compound: NbIr3Os
Source: Alexandria
Functional: GGA-PBE
Structure: optimized geometry

Lattice parameters (Å, degrees): 4.689 4.689 4.689 90.00 90.00 90.00
Sites, in units of the cell vectors:
Ir1 0.000 0.000 0.500
Ir2 0.500 0.000 0.000
Ir3 0.000 0.500 0.000
Os1 0.000 0.000 0.000
Nb1 0.500 0.500 0.500

- Space group: Pm-3m
- E_form: 1.7639 eV per atom
- Crystal system: cubic


Record 4
Compound: MgIr2Au
Source: Alexandria
Functional: GGA-PBE
Structure: optimized geometry

Lattice parameters (Å, degrees): 9.221 9.221 9.221 17.73 17.73 17.73
Sites, in units of the cell vectors:
Ir1 0.251 0.251 0.251
Ir2 0.995 0.995 0.995
Au1 0.751 0.751 0.751
Mg1 0.503 0.503 0.503

- Space group: R3m
- E_form: 0.0060 eV per atom
- Crystal system: trigonal


Record 5
Compound: LaZr2Br
Source: Alexandria
Functional: GGA-PBE
Structure: optimized geometry

Lattice parameters (Å, degrees): 5.241 5.241 5.241 60.00 60.00 60.00
Sites, in units of the cell vectors:
La1 0.750 0.750 0.750
Br1 0.500 0.500 0.500
Zr1 0.250 0.250 0.250
Zr2 0.000 0.000 0.000

- Space group: F-43m
- Raw formation energy: 0.236 eV per atom
- Crystal system: cubic


Record 6
Compound: Ac3CdGe2Pd6
Source: Alexandria
Functional: GGA-PBE
Structure: optimized geometry

Lattice parameters (Å, degrees): 5.989 5.989 9.027 90.00 90.00 120.00
Sites, in units of the cell vectors:
Pd1 0.824 0.648 0.726
Pd2 0.176 0.352 0.274
Pd3 0.648 0.824 0.274
Pd4 0.176 0.824 0.274
Pd5 0.352 0.176 0.726
Pd6 0.824 0.176 0.726
Ge1 0.333 0.667 0.047
Ge2 0.667 0.333 0.953
Ac1 0.333 0.667 0.655
Ac2 0.667 0.333 0.345
Ac3 0.000 0.000 0.000
Cd1 0.000 0.000 0.500

- Space group: P-3m1
- E_form: -0.6422 eV per atom
- Crystal system: trigonal


Record 7
Compound: Gd2GaFe
Source: Alexandria
Functional: GGA-PBE
Structure: optimized geometry

Lattice parameters (Å, degrees): 3.540 3.540 7.013 90.00 90.00 90.00
Sites, in units of the cell vectors:
Ga1 0.500 0.500 0.500
Gd1 0.000 0.000 0.235
Gd2 0.000 0.000 0.765
Fe1 0.500 0.500 0.000

- Space group: P4/mmm
- E_form: -0.2196 eV per atom
- Crystal system: tetragonal


Record 8
Compound: K2MnHg
Source: Alexandria
Functional: GGA-PBE
Structure: optimized geometry

Lattice parameters (Å, degrees): 8.550 6.204 3.874 90.00 63.05 123.20
Sites, in units of the cell vectors:
Hg1 0.500 0.500 0.000
K1 0.500 0.000 0.500
K2 0.000 0.000 0.000
Mn1 0.000 0.500 0.500

- Space group: Cmmm
- E_form: 0.4874 eV per atom
- Crystal system: orthorhombic


Calculated DOS at the Fermi energy in order - 1.9 3.8 9.7 4.1 7.5 6.6 5.8 3.7 states/eV per cell
Calculated total energy in order - -6.377 -4.539 -7.813 -5.642 -5.688 -5.112 -10.132 -2.429 eV/atom
Calculated spin magnetization in order - 0.00 0.01 0.00 0.00 0.00 0.00 3.23 1.07 μB per atom